The following is a DFT calculation (PBE+U) of NiClF after structural relaxation.

Structure (POSCAR):
```
NiClF
1.0
-2.4901 2.0339 0.8431
-0.2885 -3.2742 0.4946
2.0616 0.5410 4.7839
Cl Ni F
1 1 1
direct
0.0000 0.0000 0.0977 Cl
0.6667 0.3333 0.3632 Ni
0.3333 0.6667 0.5391 F
```

Summary:
Energy above the most stable polymorph in this dataset in eV per atom: 0.024
Total DFT energy (no corrections) in eV per cell: -10.52
D(E_F) in states/eV/cell: 0.000
Magnetic moment in Bohr magnetons per cell: 2.0
V in Å³/f.u.: 50